## ZrTi2Os (GGA-PBEsol)

Data for ZrTi2Os after structural relaxation.

a = 4.4949 Å, b = 4.4949 Å, c = 4.4949 Å
α = 60.00°, β = 60.00°, γ = 60.00°
With the nearest neighbours (Å) after each atom.
Sites, in units of the cell vectors:
Zr (0.0000, 0.0000, 0.0000)  8 Ti 2.75
Ti (0.2500, 0.2500, 0.2500)  4 Zr 2.75, 4 Os 2.75
Ti (0.7500, 0.7500, 0.7500)  4 Zr 2.75, 4 Os 2.75
Os (0.5000, 0.5000, 0.5000)  8 Ti 2.75

Properties
Symmetry ... Fm-3m (225)
DOS(E_F) ... 1.526 states/eV/atom
Size of the total moment ... 0.00 μB per formula unit
DFT formation energy ... -0.238 eV per atom